Rb3Np3TeS8: relaxed, PBE-GGA.

Values from the calculation:
- theoretical density (g cm⁻³) = 4.96
- space-group type = C2/m
- magnetic moment (μB/cell) = 3.00

Cell lengths 8.031, 8.423, 9.096 Å; angles 118.74, 90.00, 118.47 degrees
Each line ends with the local moment (μB).
Element x y z (fractional)
1 Rb 0.000 0.000 0.000  0.00
2 Rb 0.000 0.500 0.000  0.00
3 Rb 0.500 0.500 0.000  0.00
4 Np 0.500 0.000 0.500  3.55
5 Np 0.500 0.500 0.500  -3.47
6 Np 0.000 0.500 0.500  -3.47
7 Te 0.000 0.000 0.500  0.05
8 S 0.271 0.542 0.307  0.03
9 S 0.729 0.458 0.693  0.03
10 S 0.709 0.418 0.280  0.13
11 S 0.291 0.582 0.720  0.13
12 S 0.778 0.049 0.322  -0.01
13 S 0.222 0.951 0.678  -0.01
14 S 0.271 0.049 0.322  -0.01
15 S 0.729 0.951 0.678  -0.01

=====

RbNpTeS: relaxed, PBE-GGA.

Values from the calculation:
- theoretical density (g cm⁻³) = 6.03
- space-group type = Cm
- magnetic moment (μB/cell) = 4.00

Cell lengths 4.281, 4.281, 8.720 Å; angles 89.99, 104.17, 120.00 degrees
Each line ends with the local moment (μB).
Element x y z (fractional)
1 Rb 0.975 0.386 0.378  0.00
2 Np 0.286 0.541 0.842  3.96
3 Te 0.104 0.950 0.069  -0.09
4 S 0.513 0.154 0.681  -0.08

=====

Rb2ThNpS6: relaxed, PBE-GGA.

Values from the calculation:
- theoretical density (g cm⁻³) = 4.65
- space-group type = P2_1/c
- magnetic moment (μB/cell) = 1.97

Cell lengths 7.495, 7.490, 10.593 Å; angles 90.00, 90.00, 90.00 degrees
Each line ends with the local moment (μB).
Element x y z (fractional)
1 Rb 0.000 0.999 0.250  0.00
2 Rb 0.500 0.501 0.750  0.00
3 Rb 0.000 0.001 0.750  0.00
4 Rb 0.500 0.499 0.250  0.00
5 Th 0.500 0.000 0.000  -0.04
6 Th 0.000 0.500 0.500  -0.04
7 Np 0.500 0.000 0.500  1.69
8 Np 0.000 0.500 0.000  1.69
9 S 0.246 0.734 0.008  -0.07
10 S 0.746 0.766 0.508  -0.07
11 S 0.754 0.266 0.992  -0.07
12 S 0.254 0.234 0.492  -0.07
13 S 0.266 0.754 0.493  -0.07
14 S 0.766 0.746 0.993  -0.07
15 S 0.734 0.246 0.507  -0.07
16 S 0.234 0.254 0.007  -0.07
17 S 0.985 0.500 0.240  -0.07
18 S 0.485 0.000 0.740  -0.07
19 S 0.015 0.500 0.760  -0.07
20 S 0.515 0.000 0.260  -0.07

=====

RbThNpS4: relaxed, PBE-GGA.

Values from the calculation:
- theoretical density (g cm⁻³) = 5.01
- space-group type = Imma
- magnetic moment (μB/cell) = 8.00

Cell lengths 8.554, 8.613, 8.705 Å; angles 120.36, 90.00, 119.77 degrees
Each line ends with the local moment (μB).
Element x y z (fractional)
1 Rb 0.868 0.737 0.118  0.00
2 Rb 0.132 0.263 0.882  0.00
3 Th 0.500 0.000 0.500  0.07
4 Th 0.500 0.000 0.000  0.07
5 Np 0.500 0.500 0.500  3.86
6 Np 0.000 0.500 0.500  3.86
7 S 0.728 0.456 0.682  -0.05
8 S 0.311 0.037 0.268  -0.02
9 S 0.726 0.037 0.268  -0.02
10 S 0.728 0.456 0.273  -0.05
11 S 0.272 0.544 0.727  -0.05
12 S 0.689 0.963 0.732  -0.02
13 S 0.274 0.963 0.732  -0.02
14 S 0.272 0.544 0.318  -0.05

=====

Rb3ThNp2S6: relaxed, PBE-GGA.

Values from the calculation:
- theoretical density (g cm⁻³) = 5.56
- space-group type = C2/m
- magnetic moment (μB/cell) = 9.01

Cell lengths 7.183, 7.183, 8.085 Å; angles 98.51, 98.51, 120.00 degrees
Each line ends with the local moment (μB).
Element x y z (fractional)
1 Rb 0.167 0.833 0.500  0.01
2 Rb 0.833 0.167 0.500  0.01
3 Rb 0.500 0.500 0.500  0.01
4 Th 0.000 0.000 0.000  0.23
5 Np 0.333 0.667 0.000  4.04
6 Np 0.667 0.333 0.000  4.04
7 S 0.935 0.601 0.805  -0.05
8 S 0.730 0.730 0.195  -0.05
9 S 0.065 0.399 0.195  -0.05
10 S 0.601 0.935 0.805  -0.05
11 S 0.270 0.270 0.805  -0.05
12 S 0.399 0.065 0.195  -0.05

=====

RbNpTiS4: relaxed, PBE-GGA.

Values from the calculation:
- theoretical density (g cm⁻³) = 4.24
- space-group type = P2_1/m
- magnetic moment (μB/cell) = 8.00

Cell lengths 6.678, 6.696, 9.208 Å; angles 90.00, 108.35, 90.00 degrees
Each line ends with the local moment (μB).
Element x y z (fractional)
1 Rb 0.725 0.750 0.938  0.00
2 Rb 0.275 0.250 0.062  0.00
3 Np 0.783 0.750 0.451  3.77
4 Np 0.217 0.250 0.549  3.77
5 Ti 0.230 0.750 0.334  0.23
6 Ti 0.770 0.250 0.666  0.23
7 S 0.006 0.507 0.697  -0.05
8 S 0.994 0.007 0.303  -0.05
9 S 0.994 0.493 0.303  -0.05
10 S 0.006 0.993 0.697  -0.05
11 S 0.437 0.750 0.181  -0.04
12 S 0.563 0.250 0.819  -0.04
13 S 0.447 0.750 0.574  -0.04
14 S 0.553 0.250 0.426  -0.04

=====

| no. | raw formation energy (kJ/mol of formula units) |
| --- | --- |
| 1 | -1582 |
| 2 | -412 |
| 3 | -1321 |
| 4 | -1060 |
| 5 | -1707 |
| 6 | -902 |